A plane-wave DFT calculation with PBE-GGA was carried out for a relaxed PrNd2Y4Mg crystal. Values from VASP.

Geometry as Quantum ESPRESSO input:
```
&SYSTEM
  ibrav = 0, nat = 8, ntyp = 4
/
ATOMIC_SPECIES
Pr 140.91 Pr.upf
Nd 144.24 Nd.upf
Y 88.91 Y.upf
Mg 24.30 Mg.upf
CELL_PARAMETERS angstrom
5.032 0.000 0.000
0.000 5.032 0.000
0.000 0.000 10.278
ATOMIC_POSITIONS crystal
Pr 0.000 0.000 0.000
Nd 0.000 0.000 0.500
Nd 0.500 0.500 0.000
Y 0.000 0.500 0.255
Y 0.000 0.500 0.745
Y 0.500 0.000 0.255
Y 0.500 0.000 0.745
Mg 0.500 0.500 0.500
```

Results
As for the energy of formation from the pure elements: 20 kJ/mol of formula units.


A plane-wave DFT calculation with PBE-GGA was carried out for a relaxed Pr6NdY2Mg crystal. Values from VASP.

Geometry as Quantum ESPRESSO input:
```
&SYSTEM
  ibrav = 0, nat = 20, ntyp = 4
/
ATOMIC_SPECIES
Pr 140.91 Pr.upf
Nd 144.24 Nd.upf
Y 88.91 Y.upf
Mg 24.30 Mg.upf
CELL_PARAMETERS angstrom
5.288 -6.933 0.000
5.288 6.933 0.000
-1.754 0.000 9.388
ATOMIC_POSITIONS crystal
Pr 0.039 0.465 0.671
Pr 0.065 0.828 0.904
Pr 0.172 0.935 0.596
Pr 0.239 0.579 0.077
Pr 0.421 0.761 0.423
Pr 0.465 0.039 0.171
Pr 0.535 0.961 0.829
Pr 0.579 0.239 0.577
Pr 0.761 0.421 0.923
Pr 0.828 0.065 0.404
Pr 0.935 0.172 0.096
Pr 0.961 0.535 0.329
Nd 0.433 0.567 0.750
Nd 0.567 0.433 0.250
Y 0.234 0.299 0.404
Y 0.299 0.234 0.904
Y 0.701 0.766 0.096
Y 0.766 0.701 0.596
Mg 0.097 0.903 0.250
Mg 0.903 0.097 0.750
```

Results
As for the energy of formation from the pure elements: 93 kJ/mol of formula units.


A plane-wave DFT calculation with PBE-GGA was carried out for a relaxed Pr2NdY4Mg crystal. Values from VASP.

Geometry as Quantum ESPRESSO input:
```
&SYSTEM
  ibrav = 0, nat = 8, ntyp = 4
/
ATOMIC_SPECIES
Pr 140.91 Pr.upf
Nd 144.24 Nd.upf
Y 88.91 Y.upf
Mg 24.30 Mg.upf
CELL_PARAMETERS angstrom
5.039 0.000 0.000
0.000 5.039 0.000
0.000 0.000 10.291
ATOMIC_POSITIONS crystal
Pr 0.000 0.000 0.000
Pr 0.500 0.500 0.500
Nd 0.000 0.000 0.500
Y 0.000 0.500 0.246
Y 0.000 0.500 0.754
Y 0.500 0.000 0.246
Y 0.500 0.000 0.754
Mg 0.500 0.500 0.000
```

Results
As for the energy of formation from the pure elements: 21 kJ/mol of formula units.